(1)
First-principles (PBE-GGA) data for a relaxed structure of Sr2SbPPt6, as listed in Alexandria.

The structure in POSCAR format:
```
Sr2SbPPt6
1.0
-1.817 0.503 5.408
-5.613 -6.278 -1.303
5.924 -5.822 2.532
Sr Sb P Pt
4 2 2 12
Direct
0.500 0.724 0.258
0.000 0.276 0.758
0.500 0.724 0.742
0.000 0.276 0.242
0.000 0.714 0.500
0.500 0.286 0.000
0.500 0.237 0.500
0.000 0.763 0.000
0.500 0.111 0.254
0.500 0.111 0.746
0.000 0.889 0.246
0.000 0.889 0.754
0.247 0.001 0.500
0.753 0.001 0.500
0.261 0.462 0.500
0.739 0.462 0.500
0.761 0.538 0.000
0.239 0.538 0.000
0.253 0.999 0.000
0.747 0.999 0.000
```

Summary:
The value obtained for the total magnetic moment is 0.00 μB per formula unit. The value obtained for the uncorrected formation energy is -0.75 eV per atom. The value obtained for the uncorrected energy is -5.67 eV per atom.

***

(2)
First-principles (PBE-GGA) data for a relaxed structure of SrSb2P2Pt7, as listed in Alexandria.

The structure in POSCAR format:
```
SrSb2P2Pt7
1.0
3.990 -0.002 -0.005
0.003 3.990 -0.005
2.013 2.010 14.972
Sr Sb P Pt
1 2 2 7
Direct
0.000 0.000 0.000
0.788 0.788 0.424
0.212 0.212 0.576
0.619 0.619 0.759
0.381 0.381 0.241
0.500 0.500 0.000
0.303 0.303 0.395
0.697 0.697 0.605
0.922 0.422 0.158
0.422 0.922 0.158
0.578 0.078 0.842
0.078 0.578 0.842
```

Summary:
The value obtained for the total magnetic moment is 0.00 μB per formula unit. The value obtained for the uncorrected formation energy is -0.49 eV per atom. The value obtained for the uncorrected energy is -5.74 eV per atom.

***

(3)
First-principles (PBE-GGA) data for a relaxed structure of SrSb2PPt, as listed in Alexandria.

The structure in POSCAR format:
```
SrSb2PPt
1.0
5.059 0.000 0.000
0.000 5.570 0.000
0.000 0.000 5.059
Sb P Pt Sr
2 1 1 1
Direct
0.000 0.000 0.500
0.500 0.000 0.000
0.000 0.000 0.000
0.500 0.500 0.500
0.000 0.500 0.000
```

Summary:
The value obtained for the total magnetic moment is 0.00 μB per formula unit. The value obtained for the uncorrected formation energy is 0.29 eV per atom. The value obtained for the uncorrected energy is -3.98 eV per atom.

***

(4)
First-principles (PBE-GGA) data for a relaxed structure of TbSb2P2Pt7, as listed in Alexandria.

The structure in POSCAR format:
```
TbSb2P2Pt7
1.0
-2.154 2.035 2.650
2.617 -0.932 2.843
7.959 12.774 -0.369
Tb Sb P Pt
1 2 2 7
Direct
0.000 0.000 0.000
0.789 0.789 0.423
0.211 0.211 0.577
0.618 0.618 0.762
0.382 0.382 0.238
0.500 0.500 0.000
0.303 0.303 0.394
0.697 0.697 0.606
0.925 0.425 0.150
0.425 0.925 0.150
0.575 0.075 0.850
0.075 0.575 0.850
```

Summary:
The value obtained for the total magnetic moment is 0.00 μB per formula unit. The value obtained for the uncorrected formation energy is -0.69 eV per atom. The value obtained for the uncorrected energy is -6.19 eV per atom.

***

(5)
First-principles (PBE-GGA) data for a relaxed structure of TiSbP2Pt, as listed in Alexandria.

The structure in POSCAR format:
```
TiSbP2Pt
1.0
-1.395 4.046 -1.717
0.819 -1.669 -4.597
-4.329 -1.577 -0.199
Sb P Pt Ti
1 2 1 1
Direct
0.500 0.500 0.500
0.000 0.000 0.500
0.500 0.000 0.000
0.000 0.500 0.000
0.000 0.000 0.000
```

Summary:
The value obtained for the total magnetic moment is 0.00 μB per formula unit. The value obtained for the uncorrected formation energy is 0.31 eV per atom. The value obtained for the uncorrected energy is -5.46 eV per atom.

***

(6)
First-principles (PBE-GGA) data for a relaxed structure of Ti2SbPPt, as listed in Alexandria.

The structure in POSCAR format:
```
Ti2SbPPt
1.0
-2.135 -4.089 1.728
2.972 0.140 4.005
-3.331 2.743 2.375
Sb P Pt Ti
1 1 1 2
Direct
0.000 0.500 0.000
0.500 0.500 0.500
0.000 0.000 0.000
0.000 0.000 0.500
0.500 0.000 0.000
```

Summary:
The value obtained for the total magnetic moment is 2.38 μB per formula unit. The value obtained for the uncorrected formation energy is 0.59 eV per atom. The value obtained for the uncorrected energy is -5.68 eV per atom.

***

(7)
First-principles (PBE-GGA) data for a relaxed structure of TmSb2P2Pt7, as listed in Alexandria.

The structure in POSCAR format:
```
TmSb2P2Pt7
1.0
3.961 -0.002 -0.004
0.003 3.961 -0.004
1.991 1.988 14.748
Tm Sb P Pt
1 2 2 7
Direct
0.000 0.000 0.000
0.789 0.789 0.423
0.211 0.211 0.577
0.618 0.618 0.763
0.382 0.382 0.237
0.500 0.500 0.000
0.303 0.303 0.393
0.697 0.697 0.607
0.926 0.426 0.147
0.426 0.926 0.147
0.574 0.074 0.853
0.074 0.574 0.853
```

Summary:
The value obtained for the total magnetic moment is 0.00 μB per formula unit. The value obtained for the uncorrected formation energy is -0.72 eV per atom. The value obtained for the uncorrected energy is -6.21 eV per atom.

***

(8)
First-principles (PBE-GGA) data for a relaxed structure of YSb2P2Pt7, as listed in Alexandria.

The structure in POSCAR format:
```
YSb2P2Pt7
1.0
3.974 -0.002 -0.005
0.003 3.974 -0.005
1.999 1.997 14.781
Y Sb P Pt
1 2 2 7
Direct
0.000 0.000 0.000
0.789 0.789 0.423
0.211 0.211 0.577
0.618 0.618 0.762
0.382 0.382 0.238
0.500 0.500 0.000
0.303 0.303 0.394
0.697 0.697 0.606
0.925 0.425 0.150
0.425 0.925 0.150
0.575 0.075 0.850
0.075 0.575 0.850
```

Summary:
The value obtained for the total magnetic moment is 0.00 μB per formula unit. The value obtained for the uncorrected formation energy is -0.69 eV per atom. The value obtained for the uncorrected energy is -6.34 eV per atom.